w | Material: BaLa2AlRh
Method: DFT, PBE
State: relaxed

## Properties
Total magnetization = 0.000 μB/atom
Volume = 162.1 Å³ per cell

Cell: 5.6174 5.6174 5.1355 Å, 90.00 90.00 90.00°
Space group P4/mmm (No. 123)
Asymmetric unit:
Ba 0.0000 0.0000 0.0000 (multiplicity 1)
La 0.0000 0.5000 0.5000 (multiplicity 2)
Al 0.5000 0.5000 0.0000 (multiplicity 1)
Rh 0.5000 0.5000 0.5000 (multiplicity 1)

x | Material: BaLa2AlRh
Method: DFT, PBE
State: relaxed

## Properties
Total magnetization = 0.000 μB/atom
Volume = 165.7 Å³ per cell

Cell: 5.9654 5.9654 4.6566 Å, 90.00 90.00 90.00°
Space group P4/mmm (No. 123)
Asymmetric unit:
Ba 0.0000 0.0000 0.0000 (multiplicity 1)
La 0.0000 0.5000 0.5000 (multiplicity 2)
Al 0.5000 0.5000 0.5000 (multiplicity 1)
Rh 0.5000 0.5000 0.0000 (multiplicity 1)

Energy ordering: w at the bottom, the next structure 437 meV per atom above.

w | Material: Ba2Li2Al
Method: DFT, PBE
State: relaxed

## Properties
Total magnetization = 0.000 μB/atom
Volume = 361.4 Å³ per cell

Cell: 4.1191 4.1191 21.3016 Å, 90.00 90.00 90.00°
Space group I4/mmm (No. 139)
Asymmetric unit:
Ba 0.0000 0.0000 0.0953 (multiplicity 4)
Li 0.0000 0.5000 0.2500 (multiplicity 4)
Al 0.0000 0.0000 0.5000 (multiplicity 2)

x | Material: Ba2Li2Al
Method: DFT, PBE
State: relaxed

## Properties
Total magnetization = 0.000 μB/atom
Volume = 326.2 Å³ per cell

Cell: 7.6972 7.6972 5.5064 Å, 90.00 90.00 90.00°
Space group P4/mbm (No. 127)
Asymmetric unit:
Ba 0.1970 0.3030 0.0000 (multiplicity 4)
Li 0.1324 0.6324 0.5000 (multiplicity 4)
Al 0.0000 0.0000 0.5000 (multiplicity 2)

Energy ordering: w at the bottom, the next structure 27 meV per atom above.

w | Material: BaLiAl2Ni
Method: DFT, PBE
State: relaxed

## Properties
Total magnetization = 0.000 μB/atom
Volume = 110.4 Å³ per cell

Cell: 4.6503 4.6503 5.1061 Å, 90.00 90.00 90.00°
Space group P4/mmm (No. 123)
Asymmetric unit:
Ba 0.0000 0.0000 0.0000 (multiplicity 1)
Li 0.5000 0.5000 0.0000 (multiplicity 1)
Al 0.0000 0.5000 0.5000 (multiplicity 2)
Ni 0.5000 0.5000 0.5000 (multiplicity 1)

x | Material: BaLiAl2Ni
Method: DFT, PBE
State: relaxed

## Properties
Total magnetization = 0.000 μB/atom
Volume = 126.5 Å³ per cell

Cell: 4.7266 4.7266 5.6641 Å, 90.00 90.00 90.00°
Space group P4/mmm (No. 123)
Asymmetric unit:
Ba 0.0000 0.0000 0.0000 (multiplicity 1)
Li 0.5000 0.5000 0.0000 (multiplicity 1)
Al 0.0000 0.5000 0.5000 (multiplicity 2)
Ni 0.0000 0.0000 0.5000 (multiplicity 1)

Energy ordering: w at the bottom, the next structure 238 meV per atom above.

w | Material: BaLiAlZn
Method: DFT, PBE
State: relaxed

## Properties
Total magnetization = 0.000 μB/atom
Volume = 319.8 Å³ per cell

Cell: 4.5768 4.5768 17.6286 Å, 90.00 90.00 120.00°
Space group R3m (No. 160, hexagonal axes)
Asymmetric unit:
Ba 0.0000 0.0000 0.0000 (multiplicity 3)
Li 0.0000 0.0000 0.8112 (multiplicity 3)
Al 0.0000 0.0000 0.5139 (multiplicity 3)
Zn 0.0000 0.0000 0.1934 (multiplicity 3)

x | Material: BaLiAlZn
Method: DFT, PBE
State: relaxed

## Properties
Total magnetization = 0.000 μB/atom
Volume = 389.2 Å³ per cell

Cell: 7.3009 7.3009 7.3009 Å, 90.00 90.00 90.00°
Space group F-43m (No. 216)
Asymmetric unit:
Ba 0.0000 0.0000 0.0000 (multiplicity 4)
Li 0.2500 0.2500 0.7500 (multiplicity 4)
Al 0.0000 0.0000 0.5000 (multiplicity 4)
Zn 0.2500 0.2500 0.2500 (multiplicity 4)

Energy ordering: w at the bottom, the next structure 140 meV per atom above.

w | Material: BaLu2Al
Method: DFT, PBE
State: relaxed

## Properties
Total magnetization = 0.042 μB/atom
Volume = 380.0 Å³ per cell

Cell: 3.5496 3.5496 34.8270 Å, 90.00 90.00 120.00°
Space group R-3m (No. 166, hexagonal axes)
Asymmetric unit:
Ba 0.0000 0.0000 0.0000 (multiplicity 3)
Lu 0.0000 0.0000 0.1040 (multiplicity 6)
Al 0.0000 0.0000 0.5000 (multiplicity 3)

x | Material: BaLu2Al
Method: DFT, PBE
State: relaxed

## Properties
Total magnetization = 0.000 μB/atom
Volume = 126.3 Å³ per cell

Cell: 3.5831 3.5831 9.8411 Å, 90.00 90.00 90.00°
Space group P4/mmm (No. 123)
Asymmetric unit:
Ba 0.0000 0.0000 0.0000 (multiplicity 1)
Lu 0.5000 0.5000 0.3210 (multiplicity 2)
Al 0.0000 0.0000 0.5000 (multiplicity 1)

Energy ordering: x at the bottom, the next structure 211 meV per atom above.

w | Material: Ba2MgAl2
Method: DFT, PBE
State: relaxed

## Properties
Total magnetization = 0.000 μB/atom
Volume = 339.3 Å³ per cell

Cell: 7.8637 7.8637 5.4865 Å, 90.00 90.00 90.00°
Space group P4/mbm (No. 127)
Asymmetric unit:
Ba 0.1763 0.3237 0.0000 (multiplicity 4)
Mg 0.0000 0.0000 0.5000 (multiplicity 2)
Al 0.1228 0.6228 0.5000 (multiplicity 4)

x | Material: Ba2MgAl2
Method: DFT, PBE
State: relaxed

## Properties
Total magnetization = 0.000 μB/atom
Volume = 677.5 Å³ per cell

Cell: 11.7620 5.3239 12.0510 Å, 90.00 116.13 90.00°
Space group C2/m (No. 12)
Asymmetric unit:
Ba 0.0913 0.0000 0.3846 (multiplicity 4)
Ba 0.1884 0.5000 0.1745 (multiplicity 4)
Mg 0.1388 0.5000 0.8631 (multiplicity 4)
Al 0.0777 0.0000 0.9466 (multiplicity 4)
Al 0.1007 0.5000 0.6043 (multiplicity 4)

Energy ordering: x at the bottom, the next structure 113 meV per atom above.

w | Material: Ba4MgAl
Method: DFT, PBE
State: relaxed

## Properties
Total magnetization = 0.000 μB/atom
Volume = 1108.1 Å³ per cell

Cell: 10.3479 10.3479 10.3479 Å, 90.00 90.00 90.00°
Space group F-43m (No. 216)
Asymmetric unit:
Ba 0.1243 0.1243 0.3757 (multiplicity 16)
Mg 0.0000 0.0000 0.0000 (multiplicity 4)
Al 0.2500 0.2500 0.7500 (multiplicity 4)

x | Material: Ba4MgAl
Method: DFT, PBE
State: relaxed

## Properties
Total magnetization = 0.003 μB/atom
Volume = 937.7 Å³ per cell

Cell: 6.0191 6.0191 29.8894 Å, 90.00 90.00 120.00°
Space group R-3m (No. 166, hexagonal axes)
Asymmetric unit:
Ba 0.0000 0.0000 0.1169 (multiplicity 6)
Ba 0.0000 0.0000 0.3678 (multiplicity 6)
Mg 0.0000 0.0000 0.5000 (multiplicity 3)
Al 0.0000 0.0000 0.0000 (multiplicity 3)

Energy ordering: x at the bottom, the next structure 431 meV per atom above.

w | Material: BaMg14Al
Method: DFT, PBE
State: relaxed

## Properties
Total magnetization = 0.000 μB/atom
Volume = 793.3 Å³ per cell

Cell: 10.4196 6.4996 11.7135 Å, 90.00 90.00 90.00°
Space group Amm2 (No. 38)
Asymmetric unit:
Ba 0.0000 0.0000 0.0000 (multiplicity 2)
Mg 0.0000 0.2459 0.2497 (multiplicity 4)
Mg 0.2294 0.0000 0.6388 (multiplicity 4)
Mg 0.2585 0.2471 0.3946 (multiplicity 8)
Mg 0.2665 0.0000 0.1562 (multiplicity 4)
Mg 0.5000 0.0000 0.4852 (multiplicity 2)
Mg 0.5000 0.0000 0.9828 (multiplicity 2)
Mg 0.5000 0.2411 0.7324 (multiplicity 4)
Al 0.0000 0.0000 0.4627 (multiplicity 2)

x | Material: BaMg14Al
Method: DFT, PBE
State: relaxed

## Properties
Total magnetization = 0.000 μB/atom
Volume = 397.0 Å³ per cell

Cell: 6.6347 6.6347 10.4142 Å, 90.00 90.00 120.00°
Space group P-6m2 (No. 187)
Asymmetric unit:
Ba 0.0000 0.0000 0.0000 (multiplicity 1)
Mg 0.0164 0.5082 0.0000 (multiplicity 3)
Mg 0.1694 0.3388 0.2705 (multiplicity 6)
Mg 0.5068 0.0136 0.5000 (multiplicity 3)
Mg 0.6667 0.3333 0.2406 (multiplicity 2)
Al 0.0000 0.0000 0.5000 (multiplicity 1)

Energy ordering: w at the bottom, the next structure 22 meV per atom above.

w | Material: BaMg6AlO8
Method: DFT, PBE
State: relaxed

## Properties
Total magnetization = 0.000 μB/atom
Volume = 194.7 Å³ per cell

Cell: 4.6970 4.6970 8.8231 Å, 90.00 90.00 90.00°
Space group P4/mmm (No. 123)
Asymmetric unit:
Ba 0.0000 0.0000 0.0000 (multiplicity 1)
Mg 0.0000 0.0000 0.5000 (multiplicity 1)
Mg 0.0000 0.5000 0.2664 (multiplicity 4)
Mg 0.5000 0.5000 0.5000 (multiplicity 1)
Al 0.5000 0.5000 0.0000 (multiplicity 1)
O 0.0000 0.0000 0.2827 (multiplicity 2)
O 0.0000 0.5000 0.0000 (multiplicity 2)
O 0.0000 0.5000 0.5000 (multiplicity 2)
O 0.5000 0.5000 0.2467 (multiplicity 2)

x | Material: BaMg6AlO8
Method: DFT, PBE
State: relaxed

## Properties
Total magnetization = 0.000 μB/atom
Volume = 195.7 Å³ per cell

Cell: 4.7629 4.7629 8.6263 Å, 90.00 90.00 90.00°
Space group P4/mmm (No. 123)
Asymmetric unit:
Ba 0.0000 0.0000 0.0000 (multiplicity 1)
Mg 0.0000 0.5000 0.2630 (multiplicity 4)
Mg 0.5000 0.5000 0.0000 (multiplicity 1)
Mg 0.5000 0.5000 0.5000 (multiplicity 1)
Al 0.0000 0.0000 0.5000 (multiplicity 1)
O 0.0000 0.0000 0.2953 (multiplicity 2)
O 0.0000 0.5000 0.0000 (multiplicity 2)
O 0.0000 0.5000 0.5000 (multiplicity 2)
O 0.5000 0.5000 0.2518 (multiplicity 2)

Energy ordering: x at the bottom, the next structure 65 meV per atom above.

w | Material: BaAl2Mo
Method: DFT, PBE
State: relaxed

## Properties
Total magnetization = 0.063 μB/atom
Volume = 172.4 Å³ per cell

Cell: 4.5562 4.5562 8.3035 Å, 90.00 90.00 90.00°
Space group I4/mmm (No. 139)
Asymmetric unit:
Ba 0.0000 0.0000 0.0000 (multiplicity 2)
Al 0.0000 0.5000 0.2500 (multiplicity 4)
Mo 0.0000 0.0000 0.5000 (multiplicity 2)

x | Material: BaAl2Mo
Method: DFT, PBE
State: relaxed

## Properties
Total magnetization = 0.454 μB/atom
Volume = 495.3 Å³ per cell

Cell: 5.2844 5.2844 17.7370 Å, 90.00 90.00 90.00°
Space group I-42d (No. 122)
Asymmetric unit:
Ba 0.0000 0.0000 0.0000 (multiplicity 4)
Al 0.0011 0.2500 0.6250 (multiplicity 8)
Mo 0.0000 0.0000 0.5000 (multiplicity 4)

Energy ordering: x at the bottom, the next structure 58 meV per atom above.

w | Material: BaAl2Mo
Method: DFT, PBE
State: relaxed

## Properties
Total magnetization = 0.040 μB/atom
Volume = 85.7 Å³ per cell

Cell: 5.4247 5.4247 2.9109 Å, 90.00 90.00 90.00°
Space group P4/mmm (No. 123)
Asymmetric unit:
Ba 0.0000 0.0000 0.0000 (multiplicity 1)
Al 0.0000 0.5000 0.5000 (multiplicity 2)
Mo 0.5000 0.5000 0.0000 (multiplicity 1)

x | Material: BaAl2Mo
Method: DFT, PBE
State: relaxed

## Properties
Total magnetization = 0.000 μB/atom
Volume = 258.6 Å³ per cell

Cell: 3.0864 3.0864 31.3525 Å, 90.00 90.00 120.00°
Space group R3m (No. 160, hexagonal axes)
Asymmetric unit:
Ba 0.0000 0.0000 0.0000 (multiplicity 3)
Al 0.0000 0.0000 0.5034 (multiplicity 3)
Al 0.0000 0.0000 0.7646 (multiplicity 3)
Mo 0.0000 0.0000 0.2359 (multiplicity 3)

Energy ordering: x at the bottom, the next structure 41 meV per atom above.

w | Material: BaAl2Mo
Method: DFT, PBE
State: relaxed

## Properties
Total magnetization = 0.000 μB/atom
Volume = 171.2 Å³ per cell

Cell: 6.6774 8.5117 3.0126 Å, 90.00 90.48 90.00°
Space group C2/m (No. 12)
Asymmetric unit:
Ba 0.0000 0.0000 0.0000 (multiplicity 2)
Al 0.2500 0.2500 0.5000 (multiplicity 4)
Mo 0.0000 0.5000 0.0000 (multiplicity 2)

x | Material: BaAl2Mo
Method: DFT, PBE
State: relaxed

## Properties
Total magnetization = 0.003 μB/atom
Volume = 89.3 Å³ per cell

Cell: 3.1896 3.5679 7.8504 Å, 90.00 90.16 90.00°
Space group P2/m (No. 10)
Asymmetric unit:
Ba 0.0000 0.0000 0.0000 (multiplicity 1)
Al 0.5002 0.5000 0.3336 (multiplicity 2)
Mo 0.0000 0.0000 0.5000 (multiplicity 1)

y | Material: BaAl2Mo
Method: DFT, PBE
State: relaxed

## Properties
Total magnetization = 0.090 μB/atom
Volume = 262.4 Å³ per cell

Cell: 3.1455 3.1455 30.6236 Å, 90.00 90.00 120.00°
Space group R-3m (No. 166, hexagonal axes)
Asymmetric unit:
Ba 0.0000 0.0000 0.0000 (multiplicity 3)
Al 0.0000 0.0000 0.2330 (multiplicity 6)
Mo 0.0000 0.0000 0.5000 (multiplicity 3)

z | Material: BaAl2Mo
Method: DFT, PBE
State: relaxed

## Properties
Total magnetization = 0.000 μB/atom
Volume = 96.5 Å³ per cell

Cell: 3.0578 4.3374 7.2787 Å, 90.00 90.00 90.00°
Space group Pmm2 (No. 25)
Asymmetric unit:
Ba 0.0000 0.0000 0.0000 (multiplicity 1)
Al 0.5000 0.0000 0.5702 (multiplicity 1)
Al 0.5000 0.5000 0.3227 (multiplicity 1)
Mo 0.0000 0.5000 0.6202 (multiplicity 1)

Energy ordering: x at the bottom, the next structure 145 meV per atom above.